The following is a DFT calculation (PBE-GGA) of a relaxed SrSb2As crystal.

Computed properties:
E_form (uncorrected), eV/f.u.: -1.52
Raw total energy, eV for the cell shown: -64.39

Lattice parameters (Å, degrees): 6.3276 6.3845 11.5466 90.00 90.00 90.00
Last column: nearest neighbours and their distance in Å.
Space group Fmmm (No. 69)
Asymmetric unit:
1 Sr 0.0000 0.0000 0.0000 x4  4 As 3.16-3.19, 4 Sb 3.30
2 Sb 0.0000 0.2500 0.2500 x8  4 Sb 3.16-3.19, 2 As 3.30, 2 Sr 3.30
3 As 0.0000 0.0000 0.5000 x4  4 Sr 3.16-3.19, 4 Sb 3.30